{
  "formula": "CsTb6S8",
  "functional": "PBE-GGA",
  "state": "relaxed",
  "final_energy_ev_per_atom": -6.027,
  "formation_energy_uncorrected_ev_per_fu": -28.7,
  "lattice": [[4.001, 0.000, 0.000], [0.000, 10.732, 0.000], [0.000, -5.366, 9.294]],
  "species": ["S", "S", "Tb", "Tb", "Tb", "S", "Tb", "S", "Tb", "S", "S", "Tb", "Cs", "S", "S"],
  "frac_coords": [[0.748, 0.319, 0.365], [0.252, 0.365, 0.046], [0.751, 0.521, 0.661], [0.249, 0.861, 0.521], [0.249, 0.661, 0.139], [0.252, 0.954, 0.319], [0.751, 0.339, 0.861], [0.252, 0.333, 0.667], [0.751, 0.139, 0.479], [0.748, 0.046, 0.681], [0.252, 0.681, 0.635], [0.249, 0.479, 0.339], [0.500, 0.000, 0.000], [0.748, 0.667, 0.333], [0.748, 0.635, 0.954]]
}